DFT (PBE-GGA) results for PmSmBr3 after structural relaxation.

Cell: 3.7418 7.4882 11.8499 Å, 106.50 90.00 90.00°
With the nearest neighbours (Å) after each atom.
Sites, in units of the cell vectors:
Pm: 0.2500 0.1301 0.6704  5 Br 2.96-3.05
Pm: 0.7500 0.8699 0.3296  5 Br 2.96-3.05
Sm: 0.7500 0.8670 0.8266  6 Br 2.97-3.02
Sm: 0.2500 0.1330 0.1734  6 Br 2.97-3.02
Br: 0.2500 0.1866 0.9344  3 Sm 2.97-3.02, 1 Pm 3.04
Br: 0.7500 0.8036 0.5644  3 Pm 2.96-3.05, 1 Sm 3.01
Br: 0.7500 0.4580 0.2381  1 Pm 2.96, 2 Sm 2.99
Br: 0.2500 0.1964 0.4356  3 Pm 2.96-3.05, 1 Sm 3.01
Br: 0.2500 0.5420 0.7619  1 Pm 2.96, 2 Sm 2.99
Br: 0.7500 0.8134 0.0656  3 Sm 2.97-3.02, 1 Pm 3.04

**Raw formation energy**: -1402 meV per atom
**Excess energy over the best structure of this formula in the dataset**: 118 meV per atom
**Space group**: P2_1/m


DFT (PBE-GGA) results for Li2LaY after structural relaxation.

Cell: 6.3362 6.3362 6.3362 Å, 138.15 138.15 60.68°
With the nearest neighbours (Å) after each atom.
Sites, in units of the cell vectors:
Li: 0.2500 0.7500 0.5000  4 La 3.20, 4 Li 3.55, 4 Y 3.55
Li: 0.0000 0.0000 0.0000  4 Y 3.20, 4 La 3.55, 4 Li 3.55
La: 0.7500 0.2500 0.5000  8 Li 3.20-3.55, 4 Y 3.55
Y: 0.5000 0.5000 0.0000  8 Li 3.20-3.55, 4 La 3.55

**Excess energy over the best structure of this formula in the dataset**: 159 meV per atom
**Energy relative to the elements**: 223 meV/atom
**Space group**: I-4m2


DFT (PBE-GGA) results for Ti3CuW after structural relaxation.

Cell: 4.7667 4.7667 4.7667 Å, 90.00 90.00 90.00°
With the nearest neighbours (Å) after each atom.
Sites, in units of the cell vectors:
W: 0.0000 0.0000 0.0000  6 Ti 2.38
Cu: 0.5000 0.5000 0.5000  12 Ti 3.37
Ti: 0.0000 0.0000 0.5000  2 W 2.38
Ti: 0.5000 0.0000 0.0000  2 W 2.38
Ti: 0.0000 0.5000 0.0000  2 W 2.38

**Excess energy over the best structure of this formula in the dataset**: 109 meV per atom
**Energy relative to the elements**: 1096 meV/atom
**Space group**: Pm-3m


DFT (PBE-GGA) results for Be2In2Sb after structural relaxation.

Cell: 6.9259 6.9259 4.1016 Å, 90.00 90.00 90.00°
With the nearest neighbours (Å) after each atom.
Sites, in units of the cell vectors:
In: 0.3293 0.1707 0.5000  6 Be 2.86-2.96
In: 0.6707 0.8293 0.5000  6 Be 2.86-2.96
In: 0.1707 0.6707 0.5000  6 Be 2.86-2.96
In: 0.8293 0.3293 0.5000  6 Be 2.86-2.96
Be: 0.1117 0.3883 0.0000  1 Be 2.19
Be: 0.8883 0.6117 0.0000  1 Be 2.19
Be: 0.6117 0.1117 0.0000  1 Be 2.19
Be: 0.3883 0.8883 0.0000  1 Be 2.19
Sb: 0.5000 0.5000 0.0000  4 Be 2.80
Sb: 0.0000 0.0000 0.0000  4 Be 2.80

**Raw formation energy**: 414 meV per atom
**Space group**: P4/mbm


Number 1: density of states at the Fermi level 6.024 states/eV/cell. Number 2: density of states at the Fermi level 4.712 states/eV/cell. Number 3: density of states at the Fermi level 6.411 states/eV/cell. Number 4: density of states at the Fermi level 4.040 states/eV/cell.